1.
{"formula": "Tm4BiRh2", "functional": "PBE-GGA", "state": "optimized geometry", "space_group": "No. 9", "lattice": [[4.330, -7.491, 0.000], [4.330, 7.491, 0.000], [-4.319, 0.000, 5.260]], "species": ["Tm", "Tm", "Tm", "Tm", "Tm", "Tm", "Tm", "Tm", "Bi", "Bi", "Rh", "Rh", "Rh", "Rh"], "fractional_positions": [[0.014, 0.986, 0.500], [0.163, 0.697, 0.360], [0.436, 0.560, 0.653], [0.560, 0.436, 0.153], [0.585, 0.967, 0.209], [0.697, 0.163, 0.860], [0.967, 0.585, 0.709], [0.986, 0.014, 0.000], [0.181, 0.429, 0.937], [0.429, 0.181, 0.437], [0.305, 0.982, 0.859], [0.626, 0.803, 0.499], [0.803, 0.626, 0.999], [0.982, 0.305, 0.359]]}

2.
{"formula": "Rb8AgHg2", "functional": "PBE-GGA", "state": "optimized geometry", "space_group": "No. 8", "lattice": [[5.585, -8.328, 0.000], [5.585, 8.328, 0.000], [-2.899, 0.000, 7.357]], "species": ["Rb", "Rb", "Rb", "Rb", "Rb", "Rb", "Rb", "Rb", "Ag", "Hg", "Hg"], "fractional_positions": [[0.000, 0.000, 0.000], [0.004, 0.264, 0.558], [0.139, 0.543, 0.183], [0.264, 0.004, 0.558], [0.426, 0.687, 0.789], [0.543, 0.139, 0.183], [0.687, 0.426, 0.789], [0.691, 0.691, 0.377], [0.348, 0.348, 0.406], [0.031, 0.664, 0.680], [0.664, 0.031, 0.680]]}

3.
{"formula": "Sr5Mg4", "functional": "PBE-GGA", "state": "optimized geometry", "space_group": "No. 139", "lattice": [[-5.558, 5.558, 2.769], [5.558, -5.558, 2.769], [5.558, 5.558, -2.769]], "species": ["Sr", "Sr", "Sr", "Sr", "Sr", "Mg", "Mg", "Mg", "Mg"], "fractional_positions": [[0.000, 0.000, 0.000], [0.326, 0.326, 0.651], [0.326, 0.674, 0.000], [0.674, 0.326, 0.000], [0.674, 0.674, 0.349], [0.000, 0.356, 0.356], [0.000, 0.644, 0.644], [0.356, 0.000, 0.356], [0.644, 0.000, 0.644]]}

4.
{"formula": "LaMnC3", "functional": "PBE-GGA", "state": "optimized geometry", "space_group": "No. 221", "lattice": [[4.380, 0.000, 0.000], [0.000, 4.380, 0.000], [0.000, 0.000, 4.380]], "species": ["La", "Mn", "C", "C", "C"], "fractional_positions": [[0.000, 0.000, 0.000], [0.500, 0.500, 0.500], [0.000, 0.000, 0.500], [0.000, 0.500, 0.000], [0.500, 0.000, 0.000]]}

5.
{"formula": "ZnFeCo14", "functional": "PBE-GGA", "state": "optimized geometry", "space_group": "No. 38", "lattice": [[8.138, 0.000, 0.000], [0.000, 2.519, 4.324], [0.000, -2.519, 4.324]], "species": ["Zn", "Fe", "Co", "Co", "Co", "Co", "Co", "Co", "Co", "Co", "Co", "Co", "Co", "Co", "Co", "Co"], "fractional_positions": [[0.000, 0.000, 0.000], [0.000, 0.501, 0.501], [0.000, 0.502, 0.996], [0.000, 0.996, 0.502], [0.251, 0.327, 0.327], [0.254, 0.826, 0.826], [0.257, 0.332, 0.829], [0.257, 0.829, 0.332], [0.500, 0.162, 0.162], [0.500, 0.162, 0.660], [0.500, 0.660, 0.162], [0.500, 0.661, 0.661], [0.743, 0.332, 0.829], [0.743, 0.829, 0.332], [0.746, 0.826, 0.826], [0.749, 0.327, 0.327]]}

6.
{"formula": "La5Sm4Dy2", "functional": "PBE-GGA", "state": "optimized geometry", "space_group": "No. 10", "lattice": [[9.063, 0.000, 0.000], [0.000, 3.576, 0.000], [-0.936, 0.000, 11.881]], "species": ["La", "La", "La", "La", "La", "Sm", "Sm", "Sm", "Sm", "Dy", "Dy"], "fractional_positions": [[0.000, 0.000, 0.000], [0.068, 0.000, 0.293], [0.306, 0.000, 0.834], [0.694, 0.000, 0.166], [0.932, 0.000, 0.707], [0.218, 0.500, 0.549], [0.341, 0.500, 0.111], [0.659, 0.500, 0.889], [0.782, 0.500, 0.451], [0.444, 0.000, 0.365], [0.556, 0.000, 0.635]]}

| no. | calculated total energy (eV/atom) | energy of formation (eV per atom) |
| --- | --- | --- |
| 1 | -5.92 | -0.71 |
| 2 | -1.07 | -0.05 |
| 3 | -1.59 | 0.05 |
| 4 | -5.04 | 3.32 |
| 5 | -6.81 | 0.01 |
| 6 | -4.72 | 0.08 |